No. 1
## InGaICl4 (GGA-PBE)

Data for a relaxed InGaICl4 crystal.

```
InGaICl4
1.0
9.344 1.918 -0.001
4.905 8.181 -0.001
2.866 2.031 9.466
Cl In I Ga
8 2 2 2
Direct
0.166 0.166 0.517
0.973 0.510 0.805
0.834 0.834 0.483
0.490 0.027 0.195
0.608 0.608 0.658
0.510 0.973 0.805
0.027 0.490 0.195
0.392 0.392 0.342
0.873 0.873 0.172
0.127 0.127 0.828
0.048 0.048 0.143
0.952 0.952 0.857
0.726 0.726 0.680
0.274 0.274 0.320
```

- Energy: -2.9895 eV/atom
- Uncorrected formation energy: -0.8892 eV per atom

---

No. 2
## InGa2ICl (GGA-PBE)

Data for a relaxed InGa2ICl crystal.

```
InGa2ICl
1.0
5.565 0.000 0.000
0.000 5.190 0.000
0.000 0.000 5.565
Cl In Ga I
1 1 2 1
Direct
0.000 0.500 0.000
0.000 0.000 0.000
0.000 0.000 0.500
0.500 0.000 0.000
0.500 0.500 0.500
```

- Energy: -2.6136 eV/atom
- Uncorrected formation energy: -0.1758 eV per atom

---

No. 3
## InGaICl2 (GGA-PBE)

Data for a relaxed InGaICl2 crystal.

```
InGaICl2
1.0
5.101 0.000 0.000
0.000 5.101 0.000
0.000 0.000 5.906
Cl Ga I In
2 1 1 1
Direct
0.000 0.500 0.000
0.500 0.000 0.000
0.000 0.000 0.000
0.000 0.000 0.500
0.500 0.500 0.500
```

- Energy: -2.8597 eV/atom
- Uncorrected formation energy: -0.6580 eV per atom

---

No. 4
## KGaICl (GGA-PBE)

Data for a relaxed KGaICl crystal.

```
KGaICl
1.0
-4.407 0.312 -1.066
1.785 -4.022 1.132
0.572 2.519 8.059
K I Ga Cl
1 1 1 1
Direct
0.446 0.121 0.582
0.319 0.558 0.892
0.145 0.970 0.131
0.968 0.382 0.365
```

- ΔE to the lowest computed polymorph: 0 meV per atom
- Energy: -2.9516 eV/atom
- Uncorrected formation energy: -1.0714 eV per atom

---

No. 5
## KGaICl (GGA-PBE)

Data for a relaxed KGaICl crystal.

```
KGaICl
1.0
-1.192 -3.407 -4.352
3.545 -0.321 -4.393
3.047 -4.688 -0.837
Cl Ga I K
1 1 1 1
Direct
0.000 0.000 0.000
0.750 0.750 0.750
0.500 0.500 0.500
0.250 0.250 0.250
```

- ΔE to the lowest computed polymorph: 75 meV per atom
- Energy: -2.8770 eV/atom
- Uncorrected formation energy: -0.9967 eV per atom

---

No. 6
## La2GaICl (GGA-PBE)

Data for a relaxed La2GaICl crystal.

```
La2GaICl
1.0
6.063 0.000 0.000
0.000 6.256 0.000
0.000 0.000 6.063
La Cl I Ga
2 1 1 1
Direct
0.500 0.000 0.000
0.000 0.000 0.500
0.000 0.500 0.000
0.000 0.000 0.000
0.500 0.500 0.500
```

- Energy: -3.2533 eV/atom
- Uncorrected formation energy: 0.0024 eV per atom

---

No. 7
## LaGaI2Cl (GGA-PBE)

Data for a relaxed LaGaI2Cl crystal.

```
LaGaI2Cl
1.0
-4.673 -2.207 1.370
2.703 -3.091 4.240
-0.868 3.984 3.458
Ga I La Cl
1 2 1 1
Direct
0.000 0.000 0.000
0.500 0.000 0.000
0.000 0.000 0.500
0.000 0.500 0.000
0.500 0.500 0.500
```

- Energy: -3.0760 eV/atom
- Uncorrected formation energy: -0.4958 eV per atom

---

No. 8
## MnGaICl4 (GGA-PBE)

Data for a relaxed MnGaICl4 crystal.

```
MnGaICl4
1.0
-5.777 4.032 -3.395
-4.935 -3.062 -5.237
-12.572 -1.979 1.875
Cl Mn I Ga
8 2 2 2
Direct
0.129 0.129 0.593
0.871 0.871 0.407
0.527 0.527 0.732
0.984 0.457 0.300
0.457 0.984 0.300
0.473 0.473 0.268
0.016 0.543 0.700
0.543 0.016 0.700
0.867 0.867 0.192
0.133 0.133 0.808
0.876 0.876 0.967
0.124 0.124 0.033
0.726 0.726 0.634
0.274 0.274 0.366
```

- Energy: -3.9676 eV/atom
- Uncorrected formation energy: -0.9486 eV per atom

---

No. 9
## GaIN2Cl (GGA-PBE)

Data for a relaxed GaIN2Cl crystal.

```
GaIN2Cl
1.0
4.027 0.000 0.000
0.000 4.027 0.000
0.000 0.000 6.533
Cl N I Ga
1 2 1 1
Direct
0.500 0.500 0.500
0.000 0.500 0.000
0.500 0.000 0.000
0.000 0.000 0.500
0.000 0.000 0.000
```

- ΔE to the lowest computed polymorph: 0 meV per atom
- Energy: -3.3247 eV/atom
- Uncorrected formation energy: 1.2902 eV per atom

---

No. 10
## GaIN2Cl (GGA-PBE)

Data for a relaxed GaIN2Cl crystal.

```
GaIN2Cl
1.0
4.358 0.000 0.000
0.000 4.358 0.000
0.000 0.000 8.297
I Cl N Ga
1 1 2 1
Direct
0.000 0.000 0.500
0.000 0.000 0.000
0.000 0.500 0.000
0.500 0.000 0.000
0.500 0.500 0.500
```

- ΔE to the lowest computed polymorph: 567 meV per atom
- Energy: -2.7579 eV/atom
- Uncorrected formation energy: 1.8570 eV per atom

---

No. 11
## NaGaICl (GGA-PBE)

Data for a relaxed NaGaICl crystal.

```
NaGaICl
1.0
4.331 0.000 -0.001
-2.164 3.751 0.001
-2.166 -1.249 7.637
Na I Ga Cl
1 1 1 1
Direct
0.335 0.566 0.916
0.471 0.133 0.619
0.962 0.379 0.356
0.110 0.953 0.079
```

- Energy: -2.9223 eV/atom
- Uncorrected formation energy: -0.9866 eV per atom

---

No. 12
## GaPICl2 (GGA-PBE)

Data for a relaxed GaPICl2 crystal.

```
GaPICl2
1.0
4.639 0.000 0.000
0.000 5.649 0.000
0.000 0.000 4.639
Cl I P Ga
2 1 1 1
Direct
0.000 0.000 0.500
0.500 0.000 0.000
0.500 0.500 0.500
0.000 0.500 0.000
0.000 0.000 0.000
```

- ΔE to the lowest computed polymorph: 0 meV per atom
- Energy: -2.7550 eV/atom
- Uncorrected formation energy: -0.0190 eV per atom

---

The highest energy belongs to which entry? InGa2ICl

---

Repeat the eighth record exactly.
## MnGaICl4 (GGA-PBE)

Data for a relaxed MnGaICl4 crystal.

```
MnGaICl4
1.0
-5.777 4.032 -3.395
-4.935 -3.062 -5.237
-12.572 -1.979 1.875
Cl Mn I Ga
8 2 2 2
Direct
0.129 0.129 0.593
0.871 0.871 0.407
0.527 0.527 0.732
0.984 0.457 0.300
0.457 0.984 0.300
0.473 0.473 0.268
0.016 0.543 0.700
0.543 0.016 0.700
0.867 0.867 0.192
0.133 0.133 0.808
0.876 0.876 0.967
0.124 0.124 0.033
0.726 0.726 0.634
0.274 0.274 0.366
```

- Energy: -3.9676 eV/atom
- Uncorrected formation energy: -0.9486 eV per atom